(1)
DFT (PBE) results for a relaxed Zr2Nb4Ga3N3 crystal.

Summary:
* total magnetic moment: 0.00 μB per cell
* electronic total energy: -406.72 eV per cell

Cell lengths 9.5712, 5.5484, 13.8552 Å; angles 90.00, 103.35, 90.00 degrees
Closest atoms and distances in Å follow each position.
Space group C2/c (No. 15)
Unique sites:
1 Zr 0.0494 0.0830 0.3977  3 N 2.24-2.30
2 Nb 0.1115 0.4214 0.5831  3 N 2.17-2.21
3 Nb 0.2201 0.4159 0.9169  3 N 2.17-2.21
4 Ga 0.0000 0.4840 0.2500  4 Nb 2.80-2.81, 4 Ga 2.91-2.93, 2 Zr 2.99
5 Ga 0.1990 0.1188 0.7492  4 Nb 2.82-2.83, 4 Ga 2.91-2.94, 2 Zr 2.97-2.98
6 N 0.0781 0.2346 0.9999  4 Nb 2.17-2.21, 2 Zr 2.24
7 N 0.2500 0.2500 0.5000  4 Nb 2.17, 2 Zr 2.30

=====

(2)
DFT (PBE) results for a relaxed CsCuSn crystal.

Summary:
* polymorph energy (0 for the lowest one): 0.546 eV/atom

Cell lengths 8.0026, 8.0026, 8.0026 Å; angles 90.00, 90.00, 90.00 degrees
Closest atoms and distances in Å follow each position.
Space group F-43m (No. 216)
Unique sites:
1 Cs 0.0000 0.0000 0.0000  4 Sn 3.47, 4 Cu 3.47
2 Cu 0.2500 0.2500 0.7500  4 Cs 3.47
3 Sn 0.2500 0.2500 0.2500  4 Cs 3.47

=====

(3)
DFT (PBE) results for a relaxed NdGeTe2AuS crystal.

Summary:
* total magnetic moment: 0.01 μB per cell
* electronic total energy: -106.50 eV per cell

Cell lengths 4.1951, 14.8036, 10.4153 Å; angles 90.00, 90.00, 90.00 degrees
Closest atoms and distances in Å follow each position.
Space group Cmcm (No. 63)
Unique sites:
1 Nd 0.0000 0.0000 0.0000  2 S 2.86
2 Ge 0.0000 0.2310 0.2500  4 Te 3.03
3 Te 0.0000 0.3404 0.5660  1 Au 2.85, 2 Ge 3.03
4 Au 0.0000 0.4829 0.7500  2 S 2.55, 2 Te 2.85
5 S 0.0000 0.0803 0.7500  2 Au 2.55

=====

(4)
DFT (PBE) results for a relaxed GaPt2O4 crystal.

Summary:
* total magnetic moment: 0.21 μB per cell
* electronic total energy: -301.72 eV per cell

Cell lengths 8.8487, 8.8487, 8.8487 Å; angles 90.00, 90.00, 90.00 degrees
Closest atoms and distances in Å follow each position.
Space group Fd-3m (No. 227, origin choice 2)
Unique sites:
1 Ga 0.1250 0.1250 0.1250  4 O 1.98
2 Pt 0.0000 0.0000 0.5000  6 O 2.18
3 O 0.0040 0.0040 0.7460  1 Ga 1.98, 3 Pt 2.18

=====

(5)
DFT (PBE) results for a relaxed KAuSeO3 crystal.

Summary:
* electronic total energy: -49.43 eV per cell

Cell lengths 5.6945, 6.1640, 7.2707 Å; angles 103.74, 112.99, 101.48 degrees
Closest atoms and distances in Å follow each position.
Space group P-1 (No. 2)
Unique sites:
1 K 0.2290 0.3212 0.1477  5 O 2.60-2.73
2 Au 0.2288 0.9450 0.4717  1 O 2.21, 1 Se 2.38
3 Se 0.1195 0.4219 0.6574  1 O 1.79
4 O 0.2486 0.9392 0.9170  1 O 1.32
5 O 0.3332 0.3314 0.5502  1 Se 1.79
6 O 0.3914 0.0979 0.8745  1 O 1.32

=====

(6)
DFT (PBE) results for a relaxed NaCoNiP2 crystal.

Summary:
* total magnetic moment: 0.45 μB per cell
* electronic total energy: -54.74 eV per cell

Cell lengths 3.7959, 3.7959, 9.3789 Å; angles 90.00, 90.00, 90.00 degrees
Closest atoms and distances in Å follow each position.
Space group I-4m2 (No. 119)
Unique sites:
1 Na 0.0000 0.0000 0.0000  8 P 2.92, 4 Co 3.02, 4 Ni 3.02
2 Co 0.0000 0.5000 0.2500  4 P 2.24
3 Ni 0.0000 0.5000 0.7500  4 P 2.24
4 P 0.0000 0.0000 0.3766  2 Co 2.24, 2 Ni 2.24, 1 P 2.31

=====

(7)
DFT (PBE) results for a relaxed AlOs crystal.

Summary:
* total magnetic moment: 4.03 μB per cell
* electronic total energy: -47.62 eV per cell

Cell lengths 5.6149, 5.6149, 5.6149 Å; angles 90.00, 90.00, 90.00 degrees
Closest atoms and distances in Å follow each position.
Space group F-43m (No. 216)
Unique sites:
1 Al 0.0000 0.0000 0.0000  4 Os 2.43
2 Os 0.2500 0.2500 0.7500  4 Al 2.43

=====

(8)
DFT (PBE) results for a relaxed Er3Ga4Cu2 crystal.

Summary:
* total magnetic moment: 0.04 μB per cell
* electronic total energy: -76.73 eV per cell

Cell lengths 10.3245, 4.3487, 8.2972 Å; angles 90.00, 112.16, 90.00 degrees
Closest atoms and distances in Å follow each position.
Space group C2/m (No. 12)
Unique sites:
1 Er 0.0000 0.0000 0.0000  8 Ga 2.92-3.12, 4 Cu 3.01
2 Er 0.1720 0.5000 0.6536  4 Cu 2.98-3.10, 8 Ga 3.01-3.32
3 Ga 0.0360 0.0000 0.3666  2 Cu 2.49, 1 Ga 2.59
4 Ga 0.2321 0.5000 0.0759  1 Cu 2.48, 2 Ga 2.61
5 Cu 0.0989 0.5000 0.2701  3 Ga 2.48-2.49

=====

(9)
DFT (PBE) results for a relaxed Dy2Er4LuNi2Te2 crystal.

Summary:
* total magnetic moment: 0.01 μB per cell
* polymorph energy (0 for the lowest one): 0.000 eV/atom

Cell lengths 3.8163, 15.4782, 9.5235 Å; angles 90.00, 90.00, 90.00 degrees
Closest atoms and distances in Å follow each position.
Space group Imm2 (No. 44)
Unique sites:
1 Dy 0.0000 0.1454 0.0000  2 Ni 2.82, 2 Te 3.13
2 Er 0.0000 0.1841 0.6490  2 Ni 2.76
3 Er 0.0000 0.3662 0.8532  2 Ni 2.77
4 Lu 0.0000 0.5000 0.2712  3 Te 3.17-3.23
5 Ni 0.0000 0.2632 0.3406  4 Er 2.76-2.77, 2 Dy 2.82
6 Te 0.0000 0.0000 0.5058  6 Er 3.16-3.17, 2 Lu 3.17
7 Te 0.0000 0.5000 0.6103  2 Er 3.10, 4 Dy 3.13, 1 Lu 3.23

=====

(10)
DFT (PBE) results for a relaxed TmGa2Se2S2 crystal.

Summary:
* total magnetic moment: 0.02 μB per cell
* electronic total energy: -63.45 eV per cell

Cell lengths 8.5405, 10.6553, 6.0032 Å; angles 90.00, 133.36, 90.00 degrees
Closest atoms and distances in Å follow each position.
Space group C2 (No. 5)
Unique sites:
1 Tm 0.0000 0.0000 0.0000  2 S 2.59, 2 Se 2.71
2 Ga 0.0000 0.4868 0.0000  2 S 2.49, 2 Se 2.62
3 Ga 0.0000 0.7344 0.5000  2 S 2.32, 2 Se 2.44
4 Se 0.2479 0.8501 0.5023  2 Ga 2.44-2.62, 1 Tm 2.71
5 S 0.2154 0.6208 0.9526  2 Ga 2.32-2.49, 1 Tm 2.59

=====

(11)
DFT (PBE) results for a relaxed HoEr2Al3FeCu2 crystal.

Summary:
* total magnetic moment: 0.98 μB per cell
* electronic total energy: -88.18 eV per cell

Cell lengths 3.9164, 12.1088, 6.9947 Å; angles 90.00, 90.00, 90.00 degrees
Closest atoms and distances in Å follow each position.
Space group Amm2 (No. 38)
Unique sites:
1 Ho 0.0000 0.0000 0.0000  4 Cu 2.88, 1 Fe 2.89, 6 Al 3.16-3.18
2 Er 0.0000 0.2061 0.3814  4 Cu 2.88, 1 Fe 2.88, 6 Al 3.16-3.18
3 Al 0.5000 0.0000 0.3552  2 Fe 2.54, 2 Cu 2.76, 2 Al 2.81
4 Al 0.5000 0.1164 0.7034  2 Fe 2.55, 2 Cu 2.75-2.76, 2 Al 2.81-2.82
5 Fe 0.0000 0.0000 0.5869  6 Al 2.54-2.55
6 Cu 0.5000 0.1670 0.0876  3 Al 2.75-2.76, 4 Er 2.88, 2 Ho 2.88

=====

(12)
DFT (PBE) results for a relaxed HoEr2Co2B2As3 crystal.

Summary:
* total magnetic moment: 0.01 μB per cell
* electronic total energy: -125.64 eV per cell

Cell lengths 3.8957, 3.8957, 22.6441 Å; angles 90.00, 90.00, 90.00 degrees
Closest atoms and distances in Å follow each position.
Space group I4/mmm (No. 139)
Unique sites:
1 Ho 0.0000 0.0000 0.0000  6 As 2.75-2.81
2 Er 0.0000 0.0000 0.3554  4 As 2.79, 4 Co 3.08, 1 B 3.12
3 Co 0.0000 0.5000 0.2500  4 B 2.08
4 B 0.0000 0.0000 0.2178  4 Co 2.08, 1 As 2.12
5 As 0.0000 0.0000 0.1241  1 B 2.12
6 As 0.0000 0.0000 0.5000  4 Ho 2.75

=====

(13)
DFT (PBE) results for a relaxed LaGdNi8B2 crystal.

Summary:
* total magnetic moment: 0.01 μB per cell
* polymorph energy (0 for the lowest one): 0.000 eV/atom

Cell lengths 5.0473, 5.0473, 7.0243 Å; angles 90.00, 90.00, 120.00 degrees
Closest atoms and distances in Å follow each position.
Space group P6/mmm (No. 191)
Unique sites:
1 La 0.0000 0.0000 0.0000  6 Ni 2.91
2 Gd 0.0000 0.0000 0.5000  12 Ni 2.90, 6 B 2.91
3 Ni 0.0000 0.5000 0.2961  2 B 2.04
4 Ni 0.3333 0.6667 0.0000  6 Ni 2.54
5 B 0.3333 0.6667 0.5000  6 Ni 2.04

=====

(14)
DFT (PBE) results for a relaxed AsPtPbO crystal.

Summary:
* total magnetic moment: 0.02 μB per cell
* polymorph energy (0 for the lowest one): 0.953 eV/atom

Cell lengths 4.5060, 4.5060, 8.0873 Å; angles 90.00, 90.00, 90.00 degrees
Closest atoms and distances in Å follow each position.
Space group P4/nmm (No. 129, origin choice 2)
Unique sites:
1 As 0.2500 0.2500 0.2348  1 Pt 2.41
2 Pt 0.2500 0.2500 0.5325  4 O 2.27, 1 As 2.41
3 Pb 0.2500 0.7500 0.0000  4 As 2.95, 4 Pb 3.19
4 O 0.2500 0.7500 0.5000  4 Pt 2.27

=====

(15)
DFT (PBE) results for a relaxed AlCdH6Pt crystal.

Summary:
* total magnetic moment: 1.93 μB per cell
* electronic total energy: -99.39 eV per cell

Cell lengths 6.7433, 6.7433, 6.7433 Å; angles 90.00, 90.00, 90.00 degrees
Closest atoms and distances in Å follow each position.
Space group F-43m (No. 216)
Unique sites:
1 Al 0.0000 0.0000 0.0000  6 H 1.76
2 Cd 0.2500 0.2500 0.2500  12 H 2.39
3 H 0.0000 0.0000 0.2605  1 Al 1.76
4 Pt 0.2500 0.2500 0.7500  12 H 2.39

=====

(16)
DFT (PBE) results for a relaxed NdErAl2Pt4 crystal.

Summary:
* total magnetic moment: 0.00 μB per cell
* electronic total energy: -50.27 eV per cell

Cell lengths 4.3602, 4.3602, 9.3985 Å; angles 90.00, 90.00, 120.00 degrees
Closest atoms and distances in Å follow each position.
Space group P-6m2 (No. 187)
Unique sites:
1 Nd 0.0000 0.0000 0.0000  8 Pt 3.04-3.20
2 Er 0.3333 0.6667 0.5000  8 Pt 2.93-2.99
3 Al 0.6667 0.3333 0.2573  6 Pt 2.62-2.63
4 Pt 0.0000 0.0000 0.3400  3 Al 2.63, 3 Pt 2.92, 3 Er 2.93
5 Pt 0.3333 0.6667 0.1817  3 Al 2.62, 3 Pt 2.92

=====

(17)
DFT (PBE) results for a relaxed Cs2ReI2 crystal.

Summary:
* total magnetic moment: 5.00 μB per cell
* electronic total energy: -14.47 eV per cell

Cell lengths 6.2085, 6.2085, 8.3616 Å; angles 90.00, 90.00, 90.00 degrees
Closest atoms and distances in Å follow each position.
Space group P4/mmm (No. 123)
Unique sites:
1 Cs 0.0000 0.5000 0.0000  4 I 3.77
2 Re 0.0000 0.0000 0.5000  8 I 4.84, 8 Cs 5.21
3 I 0.5000 0.5000 0.2563  4 Cs 3.77, 1 I 4.08

=====

(18)
DFT (PBE) results for a relaxed Dy4Ni2Sn5 crystal.

Summary:
* total magnetic moment: 0.00 μB per cell
* electronic total energy: -113.00 eV per cell

Cell lengths 16.0954, 4.5490, 7.4664 Å; angles 90.00, 109.68, 90.00 degrees
Closest atoms and distances in Å follow each position.
Space group C2/m (No. 12)
Unique sites:
1 Dy 0.0896 0.0000 0.3874  3 Ni 3.11-3.26, 7 Sn 3.20-3.43
2 Dy 0.1566 0.0000 0.9540  1 Ni 2.99, 5 Sn 3.08-3.24
3 Ni 0.2222 0.5000 0.6414  4 Sn 2.51-2.66
4 Sn 0.0000 0.5000 0.0000  4 Sn 3.03-3.23
5 Sn 0.0718 0.5000 0.6732  1 Ni 2.51
6 Sn 0.2040 0.5000 0.2736  3 Ni 2.55-2.66

=====

(19)
DFT (PBE) results for a relaxed ErTaN2O crystal.

Summary:
* total magnetic moment: 0.00 μB per cell
* electronic total energy: -276.91 eV per cell

Cell lengths 5.6764, 5.6764, 14.0474 Å; angles 90.00, 90.00, 120.00 degrees
Closest atoms and distances in Å follow each position.
Space group P6_3/mmc (No. 194)
Unique sites:
1 Er 0.0000 0.0000 0.2500  6 N 2.70, 6 O 2.84
2 Er 0.3333 0.6667 0.1258  3 O 2.33
3 Ta 0.0000 0.0000 0.0000  6 N 2.02
4 Ta 0.3333 0.6667 0.6460  3 N 1.88
5 N 0.1577 0.3155 0.5925  2 Ta 1.88-2.02
6 O 0.0180 0.5090 0.2500  2 Ta 2.26, 2 Er 2.33

=====

(20)
DFT (PBE) results for a relaxed ErC crystal.

Summary:
* total magnetic moment: 0.13 μB per cell
* electronic total energy: -13.01 eV per cell

Cell lengths 3.4865, 3.4865, 2.9915 Å; angles 90.00, 90.00, 120.00 degrees
Closest atoms and distances in Å follow each position.
Space group P-6m2 (No. 187)
Unique sites:
1 Er 0.0000 0.0000 0.0000  6 C 2.51
2 C 0.3333 0.6667 0.5000  6 Er 2.51

=====

| no. | mass density (kg/m³) |
| --- | --- |
| 1 | 7471 |
| 2 | 4085 |
| 3 | 7200 |
| 4 | 10045 |
| 5 | 5589 |
| 6 | 4978 |
| 7 | 8150 |
| 8 | 8738 |
| 9 | 9101 |
| 10 | 4435 |
| 11 | 7643 |
| 12 | 8347 |
| 13 | 8436 |
| 14 | 9975 |
| 15 | 7376 |
| 16 | 12296 |
| 17 | 3637 |
| 18 | 8780 |
| 19 | 9969 |
| 20 | 9453 |